Record 1
Mn4InMo: relaxed, PBE.

- Energy of formation from the pure elements: 0.68 eV/f.u.
- Space group: F-43m (216)

Unit cell a=4.8306 b=4.8306 c=4.8306 alpha=60.00 beta=60.00 gamma=60.00
Fractional positions:
Mn 0.1245 0.1245 0.1245
Mn 0.1245 0.1245 0.6264
Mn 0.1245 0.6264 0.1245
Mn 0.6264 0.1245 0.1245
In 0.7500 0.7500 0.7500
Mo 0.5000 0.5000 0.5000

Record 2
YBr: relaxed, PBE.

- VASP energy: -4.918 eV/atom
- Space group: Fddd (70)

Unit cell a=7.1788 b=7.0652 c=6.0460 alpha=65.86 beta=63.91 gamma=50.23
Fractional positions:
Y 0.0663 0.6837 0.0663
Y 0.3163 0.9337 0.3163
Y 0.6837 0.0663 0.6837
Y 0.9337 0.3163 0.9337
Br 0.1756 0.5744 0.5744
Br 0.4256 0.8244 0.8244
Br 0.5744 0.1756 0.1756
Br 0.8244 0.4256 0.4256

Record 3
AcNdTm2Bi4: relaxed, PBE.

- Energy of formation from the pure elements: -6.87 eV/f.u.
- Space group: P2/m (10)

Unit cell a=7.9354 b=4.6025 c=7.9683 alpha=90.00 beta=109.52 gamma=90.00
Fractional positions:
Ac 0.0000 0.0000 0.0000
Nd 0.0000 0.5000 0.5000
Tm 0.5000 0.0000 0.5000
Tm 0.5000 0.5000 0.0000
Bi 0.2667 0.0000 0.7492
Bi 0.2717 0.5000 0.2637
Bi 0.7283 0.5000 0.7363
Bi 0.7333 0.0000 0.2508

Record 4
Na2CrRe2: relaxed, PBE.

- Energy above the lowest structure with this stoichiometry: 0 meV per atom
- Energy of formation from the pure elements: 4.61 eV/f.u.
- Space group: P4/mbm (127)

Unit cell a=6.0041 b=6.0041 c=5.4768 alpha=90.00 beta=90.00 gamma=90.00
Fractional positions:
Na 0.1759 0.3241 0.0000
Na 0.3241 0.8241 0.0000
Na 0.6759 0.1759 0.0000
Na 0.8241 0.6759 0.0000
Cr 0.0000 0.0000 0.5000
Cr 0.5000 0.5000 0.5000
Re 0.1416 0.6416 0.5000
Re 0.3584 0.1416 0.5000
Re 0.6416 0.8584 0.5000
Re 0.8584 0.3584 0.5000

Record 5
Sm2Al5Pd: relaxed, PBE.

- Energy of formation from the pure elements: -3.59 eV/f.u.
- Space group: I4mm (107)

Unit cell a=6.2593 b=6.2593 c=8.7610 alpha=90.00 beta=90.00 gamma=90.00
Fractional positions:
Sm 0.0000 0.5000 0.0000
Sm 0.0000 0.5000 0.5000
Sm 0.5000 0.0000 0.0000
Sm 0.5000 0.0000 0.5000
Al 0.0000 0.0000 0.0094
Al 0.2164 0.2164 0.2482
Al 0.2164 0.7836 0.2482
Al 0.2836 0.2836 0.7482
Al 0.2836 0.7164 0.7482
Al 0.5000 0.5000 0.5094
Al 0.7164 0.2836 0.7482
Al 0.7164 0.7164 0.7482
Al 0.7836 0.2164 0.2482
Al 0.7836 0.7836 0.2482
Pd 0.0000 0.0000 0.7252
Pd 0.5000 0.5000 0.2252

Record 6
Zr2TaNi6: relaxed, PBE.

- Energy of formation from the pure elements: -2.67 eV/f.u.
- Space group: P-3m1 (164)

Unit cell a=5.2028 b=5.2028 c=5.5192 alpha=90.00 beta=90.00 gamma=120.00
Fractional positions:
Zr 0.3333 0.6667 0.3514
Zr 0.6667 0.3333 0.6486
Ta 0.0000 0.0000 0.5000
Ni 0.1773 0.3546 0.8326
Ni 0.1773 0.8227 0.8326
Ni 0.3546 0.1773 0.1674
Ni 0.6454 0.8227 0.8326
Ni 0.8227 0.1773 0.1674
Ni 0.8227 0.6454 0.1674

Record 7
YCu2Re: relaxed, PBE.

- Energy above the lowest structure with this stoichiometry: 121 meV per atom
- Energy of formation from the pure elements: 1.54 eV/f.u.
- Space group: I-4m2 (119)

Unit cell a=3.9038 b=3.9038 c=8.6714 alpha=90.00 beta=90.00 gamma=90.00
Fractional positions:
Y 0.0000 0.0000 0.0000
Y 0.5000 0.5000 0.5000
Cu 0.0000 0.0000 0.5000
Cu 0.0000 0.5000 0.7500
Cu 0.5000 0.0000 0.2500
Cu 0.5000 0.5000 0.0000
Re 0.0000 0.5000 0.2500
Re 0.5000 0.0000 0.7500

Record 8
KScFe3: relaxed, PBE.

- Energy above the lowest structure with this stoichiometry: 661 meV per atom
- Energy of formation from the pure elements: 10.27 eV/f.u.
- Space group: Pm-3m (221)

Unit cell a=4.5894 b=4.5894 c=4.5894 alpha=90.00 beta=90.00 gamma=90.00
Fractional positions:
K 0.0000 0.0000 0.0000
Sc 0.5000 0.5000 0.5000
Fe 0.0000 0.0000 0.5000
Fe 0.0000 0.5000 0.0000
Fe 0.5000 0.0000 0.0000

Record 9
LaZrAsRh2: relaxed, PBE.

- Energy of formation from the pure elements: -1.04 eV/f.u.
- Space group: P4/mmm (123)

Unit cell a=4.7076 b=4.7076 c=4.9880 alpha=90.00 beta=90.00 gamma=90.00
Fractional positions:
La 0.0000 0.0000 0.0000
Zr 0.5000 0.5000 0.0000
As 0.5000 0.5000 0.5000
Rh 0.0000 0.5000 0.5000
Rh 0.5000 0.0000 0.5000

Record 10
Th2Ge3Ir4Os: relaxed, PBE.

- Energy of formation from the pure elements: -6.44 eV/f.u.
- Space group: P-4m2 (115)

Unit cell a=4.2528 b=4.2528 c=10.3906 alpha=90.00 beta=90.00 gamma=90.00
Fractional positions:
Th 0.0000 0.5000 0.2418
Th 0.5000 0.0000 0.7582
Ge 0.0000 0.5000 0.8664
Ge 0.5000 0.0000 0.1336
Ge 0.5000 0.5000 0.5000
Ir 0.0000 0.0000 0.0000
Ir 0.0000 0.5000 0.6280
Ir 0.5000 0.0000 0.3720
Ir 0.5000 0.5000 0.0000
Os 0.0000 0.0000 0.5000

Record 11
LiYIr2: relaxed, PBE.

- Energy of formation from the pure elements: -1.40 eV/f.u.
- Space group: P4/mmm (123)

Unit cell a=4.0357 b=4.0357 c=4.1123 alpha=90.00 beta=90.00 gamma=90.00
Fractional positions:
Li 0.0000 0.0000 0.0000
Y 0.5000 0.5000 0.0000
Ir 0.0000 0.5000 0.5000
Ir 0.5000 0.0000 0.5000

Record 12
In2NiPt: relaxed, PBE.

- Energy of formation from the pure elements: -0.51 eV/f.u.
- Space group: Pmm2 (25)

Unit cell a=3.5930 b=3.6072 c=5.5853 alpha=90.00 beta=90.00 gamma=90.00
Fractional positions:
In 0.0000 0.0000 0.0000
In 0.5000 0.5000 0.3356
Ni 0.5000 0.5000 0.8240
Pt 0.0000 0.0000 0.5218

Record 13
SrTa2Br: relaxed, PBE.

- Energy above the lowest structure with this stoichiometry: 894 meV per atom
- Space group: P4/mmm (123)

Unit cell a=3.0921 b=3.0921 c=9.3476 alpha=90.00 beta=90.00 gamma=90.00
Fractional positions:
Sr 0.0000 0.0000 0.0000
Ta 0.5000 0.5000 0.3040
Ta 0.5000 0.5000 0.6960
Br 0.0000 0.0000 0.5000

Record 14
GaW3N: relaxed, PBE.

- Energy above the lowest structure with this stoichiometry: 0 meV per atom
- Space group: Pm-3m (221)

Unit cell a=4.1270 b=4.1270 c=4.1270 alpha=90.00 beta=90.00 gamma=90.00
Fractional positions:
Ga 0.0000 0.0000 0.0000
W 0.0000 0.5000 0.5000
W 0.5000 0.0000 0.5000
W 0.5000 0.5000 0.0000
N 0.5000 0.5000 0.5000

Record 15
Nd2TmIn2: relaxed, PBE.

- Energy above the lowest structure with this stoichiometry: 0 meV per atom
- Energy of formation from the pure elements: -1.86 eV/f.u.
- Space group: Immm (71)

Unit cell a=5.0019 b=6.9972 c=8.5739 alpha=90.00 beta=90.00 gamma=90.00
Fractional positions:
Nd 0.0000 0.0000 0.1933
Nd 0.0000 0.0000 0.8067
Nd 0.5000 0.5000 0.3067
Nd 0.5000 0.5000 0.6933
Tm 0.0000 0.5000 0.0000
Tm 0.5000 0.0000 0.5000
In 0.0000 0.2863 0.5000
In 0.0000 0.7137 0.5000
In 0.5000 0.2137 0.0000
In 0.5000 0.7863 0.0000

Record 16
LaGeP2S: relaxed, PBE.

- Energy above the lowest structure with this stoichiometry: 970 meV per atom
- Space group: P4/mmm (123)

Unit cell a=5.4536 b=5.4536 c=5.3857 alpha=90.00 beta=90.00 gamma=90.00
Fractional positions:
La 0.0000 0.0000 0.0000
Ge 0.5000 0.5000 0.5000
P 0.0000 0.5000 0.0000
P 0.5000 0.0000 0.0000
S 0.0000 0.0000 0.5000

Record 17
Cs5K5Rb: relaxed, PBE.

- Energy above the lowest structure with this stoichiometry: 0 meV per atom
- Energy of formation from the pure elements: 0.20 eV/f.u.
- Space group: P-6m2 (187)

Unit cell a=8.6880 b=8.6880 c=16.1621 alpha=90.00 beta=90.00 gamma=120.00
Fractional positions:
Cs 0.0000 0.0000 0.0000
Cs 0.3333 0.6667 0.3224
Cs 0.3333 0.6667 0.6776
Cs 0.6667 0.3333 0.1840
Cs 0.6667 0.3333 0.8160
K 0.0000 0.0000 0.2731
K 0.0000 0.0000 0.7269
K 0.3399 0.1699 0.5000
K 0.8301 0.1699 0.5000
K 0.8301 0.6601 0.5000
Rb 0.3333 0.6667 0.0000

Record 18
Pm2Sm6Y3: relaxed, PBE.

- Energy above the lowest structure with this stoichiometry: 0 meV per atom
- Energy of formation from the pure elements: 1.91 eV/f.u.
- Space group: C2/m (12)

Unit cell a=6.2273 b=6.2273 c=11.7795 alpha=95.11 beta=95.11 gamma=120.07
Fractional positions:
Pm 0.1665 0.8335 0.0000
Pm 0.8335 0.1665 0.0000
Sm 0.0838 0.4167 0.7496
Sm 0.2502 0.2502 0.2502
Sm 0.4167 0.0838 0.7496
Sm 0.5833 0.9162 0.2504
Sm 0.7498 0.7498 0.7498
Sm 0.9162 0.5833 0.2504
Y 0.0000 0.0000 0.5000
Y 0.3345 0.6655 0.5000
Y 0.6655 0.3345 0.5000

Record 19
PmNd2Ho6Tm: relaxed, PBE.

- Energy of formation from the pure elements: 1.16 eV/f.u.
- Space group: C2/c (15)

Unit cell a=8.7617 b=8.7617 c=9.6742 alpha=94.48 beta=94.48 gamma=117.97
Fractional positions:
Pm 0.0183 0.9817 0.7500
Pm 0.9817 0.0183 0.2500
Nd 0.1956 0.2979 0.5433
Nd 0.2979 0.1956 0.0433
Nd 0.7021 0.8044 0.9567
Nd 0.8044 0.7021 0.4567
Ho 0.0195 0.5724 0.6868
Ho 0.1238 0.7417 0.0575
Ho 0.2583 0.8762 0.4425
Ho 0.2944 0.5074 0.8813
Ho 0.4276 0.9805 0.8132
Ho 0.4926 0.7056 0.6187
Ho 0.5074 0.2944 0.3813
Ho 0.5724 0.0195 0.1868
Ho 0.7056 0.4926 0.1187
Ho 0.7417 0.1238 0.5575
Ho 0.8762 0.2583 0.9425
Ho 0.9805 0.4276 0.3132
Tm 0.4074 0.5926 0.2500
Tm 0.5926 0.4074 0.7500

Record 20
BaAs2: relaxed, PBE.

- Energy of formation from the pure elements: -2.37 eV/f.u.
- Space group: Pc (7)

Unit cell a=6.6821 b=12.7400 c=8.2117 alpha=90.00 beta=127.91 gamma=90.00
Fractional positions:
Ba 0.0000 0.0764 0.0000
Ba 0.0000 0.9236 0.5000
Ba 0.4491 0.4185 0.7944
Ba 0.4491 0.5815 0.2944
Ba 0.7228 0.2742 0.4307
Ba 0.7228 0.7258 0.9307
As 0.1111 0.3451 0.2875
As 0.1111 0.6549 0.7875
As 0.1531 0.3423 0.9947
As 0.1531 0.6577 0.4947
As 0.2791 0.1562 0.7458
As 0.2791 0.8438 0.2458
As 0.4274 0.1086 0.5376
As 0.4274 0.8914 0.0376
As 0.5675 0.0785 0.0928
As 0.5675 0.9215 0.5928
As 0.9012 0.4905 0.7638
As 0.9012 0.5095 0.2638

Record 21
Pu2AlSi3Ni4: relaxed, PBE.

- VASP energy: -7.793 eV/atom
- Space group: P-4m2 (115)

Unit cell a=3.9883 b=3.9883 c=9.6754 alpha=90.00 beta=90.00 gamma=90.00
Fractional positions:
Pu 0.0000 0.5000 0.2455
Pu 0.5000 0.0000 0.7545
Al 0.0000 0.0000 0.5000
Si 0.0000 0.5000 0.8734
Si 0.5000 0.0000 0.1266
Si 0.5000 0.5000 0.5000
Ni 0.0000 0.0000 0.0000
Ni 0.0000 0.5000 0.6349
Ni 0.5000 0.0000 0.3651
Ni 0.5000 0.5000 0.0000

Record 22
BTePdN2: relaxed, PBE.

- Energy above the lowest structure with this stoichiometry: 492 meV per atom
- Space group: P4/mmm (123)

Unit cell a=3.7111 b=3.7111 c=8.6822 alpha=90.00 beta=90.00 gamma=90.00
Fractional positions:
B 0.0000 0.0000 0.0000
Te 0.5000 0.5000 0.0000
Pd 0.5000 0.5000 0.5000
N 0.0000 0.5000 0.5000
N 0.5000 0.0000 0.5000

Record 23
Sm7Ho6: relaxed, PBE.

- Energy of formation from the pure elements: 3.32 eV/f.u.
- Space group: R-3m (166)

Unit cell a=12.1688 b=12.1688 c=12.1688 alpha=31.39 beta=31.39 gamma=31.39
Fractional positions:
Sm 0.0000 0.0000 0.0000
Sm 0.0932 0.0932 0.5782
Sm 0.0932 0.5782 0.0932
Sm 0.4218 0.9068 0.9068
Sm 0.5782 0.0932 0.0932
Sm 0.9068 0.4218 0.9068
Sm 0.9068 0.9068 0.4218
Ho 0.1658 0.1658 0.1658
Ho 0.3528 0.3528 0.3528
Ho 0.4543 0.4543 0.4543
Ho 0.5457 0.5457 0.5457
Ho 0.6472 0.6472 0.6472
Ho 0.8342 0.8342 0.8342

Number 1: DOS at the Fermi energy 6.256 states/eV per cell. Number 2: DOS at the Fermi energy 5.961 states/eV per cell. Number 3: DOS at the Fermi energy 1.184 states/eV per cell. Number 4: DOS at the Fermi energy 2.242 states/eV per cell. Number 5: DOS at the Fermi energy 8.648 states/eV per cell. Number 6: DOS at the Fermi energy 7.625 states/eV per cell. Number 7: DOS at the Fermi energy 5.306 states/eV per cell. Number 8: DOS at the Fermi energy 7.811 states/eV per cell. Number 9: DOS at the Fermi energy 7.774 states/eV per cell. Number 10: DOS at the Fermi energy 5.316 states/eV per cell. Number 11: DOS at the Fermi energy 2.910 states/eV per cell. Number 12: DOS at the Fermi energy 2.617 states/eV per cell. Number 13: DOS at the Fermi energy 3.503 states/eV per cell. Number 14: DOS at the Fermi energy 3.070 states/eV per cell. Number 15: DOS at the Fermi energy 10.125 states/eV per cell. Number 16: DOS at the Fermi energy 5.821 states/eV per cell. Number 17: DOS at the Fermi energy 10.887 states/eV per cell. Number 18: DOS at the Fermi energy 16.850 states/eV per cell. Number 19: DOS at the Fermi energy 27.147 states/eV per cell. Number 20: DOS at the Fermi energy 0.329 states/eV per cell. Number 21: DOS at the Fermi energy 25.570 states/eV per cell. Number 22: DOS at the Fermi energy 3.577 states/eV per cell. Number 23: DOS at the Fermi energy 26.995 states/eV per cell.